1.
{"formula": "MnV2H", "functional": "GGA-PBE", "state": "optimized geometry", "dos_ef_per_ev_fu": 3.14, "dft_energy_ev_per_atom": -7.535, "magnetic_moment_mub_per_cell": 0.00, "de_polymorph_mev_per_atom": 0, "cell": [[5.358, 0.000, 0.000], [0.000, 5.358, 0.000], [2.679, 2.679, 2.930]], "species": ["H", "H", "Mn", "Mn", "V", "V", "V", "V"], "frac_coords": [[0.500, 0.500, 0.000], [0.250, 0.750, 0.500], [0.000, 0.000, 0.000], [0.750, 0.250, 0.500], [0.554, 0.125, 0.250], [0.196, 0.625, 0.250], [0.375, 0.446, 0.750], [0.875, 0.804, 0.750]]}



2.
{"formula": "Mn5V2H2", "functional": "GGA-PBE", "state": "optimized geometry", "dos_ef_per_ev_fu": 8.85, "dft_energy_ev_per_atom": -7.879, "magnetic_moment_mub_per_cell": 3.64, "cell": [[-1.811, -3.034, 1.662], [3.649, -1.146, -2.703], [3.214, 0.282, 4.019]], "species": ["Mn", "Mn", "Mn", "Mn", "Mn", "V", "V", "H", "H"], "frac_coords": [[0.699, 0.399, 0.166], [0.301, 0.601, 0.834], [0.867, 0.734, 0.541], [0.133, 0.266, 0.459], [0.000, 0.000, 0.000], [0.579, 0.158, 0.724], [0.421, 0.842, 0.276], [0.801, 0.601, 0.865], [0.199, 0.399, 0.135]]}



3.
{"formula": "MnVH", "functional": "GGA-PBE", "state": "optimized geometry", "dos_ef_per_ev_fu": 2.11, "dft_energy_ev_per_atom": -7.299, "magnetic_moment_mub_per_cell": 1.83, "de_polymorph_mev_per_atom": 26, "cell": [[-2.045, -2.970, -1.610], [1.596, -2.225, 2.077], [-2.838, 0.490, 2.702]], "species": ["Mn", "Mn", "V", "V", "H", "H"], "frac_coords": [[0.752, 0.504, 0.252], [0.252, 0.504, 0.752], [0.752, 0.004, 0.752], [0.252, 0.004, 0.252], [0.752, 0.004, 0.251], [0.252, 0.004, 0.752]]}



4.
{"formula": "Mn2V5H12", "functional": "GGA-PBE", "state": "optimized geometry", "dos_ef_per_ev_fu": 9.17, "dft_energy_ev_per_atom": -5.539, "magnetic_moment_mub_per_cell": 1.40, "cell": [[-3.995, 1.896, -2.224], [1.853, -4.619, -1.757], [-3.162, -1.519, 4.384]], "species": ["Mn", "Mn", "V", "V", "V", "V", "V", "H", "H", "H", "H", "H", "H", "H", "H", "H", "H", "H", "H"], "frac_coords": [[0.758, 0.000, 0.000], [0.242, 0.000, 0.000], [0.307, 0.614, 0.627], [0.282, 0.564, 0.169], [0.000, 0.000, 0.500], [0.718, 0.436, 0.831], [0.693, 0.386, 0.373], [0.933, 0.866, 0.155], [0.119, 0.634, 0.902], [0.515, 0.634, 0.902], [0.096, 0.693, 0.417], [0.597, 0.693, 0.417], [0.508, 0.015, 0.787], [0.492, 0.985, 0.213], [0.904, 0.307, 0.583], [0.403, 0.307, 0.583], [0.881, 0.366, 0.098], [0.485, 0.366, 0.098], [0.067, 0.134, 0.845]]}



5.
{"formula": "Mn3V2H4", "functional": "GGA-PBE", "state": "optimized geometry", "dos_ef_per_ev_fu": 6.08, "dft_energy_ev_per_atom": -6.674, "magnetic_moment_mub_per_cell": 0.00, "cell": [[-1.936, 0.372, 1.766], [-0.571, -0.923, -2.414], [1.313, -10.211, 3.591]], "species": ["Mn", "Mn", "Mn", "V", "V", "H", "H", "H", "H"], "frac_coords": [[0.667, 0.333, 0.416], [0.000, 0.000, 0.000], [0.333, 0.667, 0.584], [0.666, 0.334, 0.798], [0.334, 0.666, 0.202], [0.333, 0.667, 0.909], [0.000, 0.000, 0.314], [0.000, 0.000, 0.686], [0.667, 0.333, 0.091]]}



6.
{"formula": "Mn4V2H", "functional": "GGA-PBE", "state": "optimized geometry", "dos_ef_per_ev_fu": 7.21, "dft_energy_ev_per_atom": -8.050, "magnetic_moment_mub_per_cell": 2.16, "cell": [[3.605, 0.000, 0.000], [0.000, 3.605, 0.000], [1.803, 1.803, 5.936]], "species": ["H", "Mn", "Mn", "Mn", "Mn", "V", "V"], "frac_coords": [[0.000, 0.000, 0.000], [0.831, 0.831, 0.337], [0.169, 0.169, 0.663], [0.000, 0.500, 0.000], [0.500, 0.000, 0.000], [0.633, 0.633, 0.733], [0.367, 0.367, 0.267]]}



7.
{"formula": "MnVH", "functional": "GGA-PBE", "state": "optimized geometry", "dos_ef_per_ev_fu": 2.20, "dft_energy_ev_per_atom": -7.325, "magnetic_moment_mub_per_cell": 0.10, "de_polymorph_mev_per_atom": 0, "cell": [[2.792, 0.172, 0.392], [1.047, 5.261, 0.407], [0.729, 2.721, 3.838]], "species": ["H", "H", "Mn", "Mn", "V", "V"], "frac_coords": [[0.248, 0.724, 0.280], [0.752, 0.276, 0.720], [0.390, 0.318, 0.400], [0.610, 0.682, 0.600], [0.115, 0.174, 0.097], [0.885, 0.826, 0.903]]}



8.
{"formula": "MnVH3", "functional": "GGA-PBE", "state": "optimized geometry", "dos_ef_per_ev_fu": 1.53, "dft_energy_ev_per_atom": -5.528, "magnetic_moment_mub_per_cell": 3.03, "de_polymorph_mev_per_atom": 192, "cell": [[3.381, 0.000, 0.000], [0.000, 3.381, 0.000], [0.000, 0.000, 3.381]], "species": ["H", "H", "H", "Mn", "V"], "frac_coords": [[0.000, 0.500, 0.000], [0.000, 0.000, 0.500], [0.500, 0.000, 0.000], [0.500, 0.500, 0.500], [0.000, 0.000, 0.000]]}



9.
{"formula": "Mn2VH", "functional": "GGA-PBE", "state": "optimized geometry", "dos_ef_per_ev_fu": 2.96, "dft_energy_ev_per_atom": -7.153, "magnetic_moment_mub_per_cell": 3.32, "de_polymorph_mev_per_atom": 402, "cell": [[-0.787, 1.073, 3.700], [-3.524, -0.772, 1.563], [-0.350, -2.731, 2.807]], "species": ["H", "Mn", "Mn", "V"], "frac_coords": [[0.000, 0.000, 0.000], [0.250, 0.250, 0.250], [0.750, 0.750, 0.750], [0.500, 0.500, 0.500]]}



10.
{"formula": "MnV2H", "functional": "GGA-PBE", "state": "optimized geometry", "dos_ef_per_ev_fu": 3.29, "dft_energy_ev_per_atom": -7.490, "magnetic_moment_mub_per_cell": 0.00, "de_polymorph_mev_per_atom": 45, "cell": [[2.732, 0.000, 0.000], [0.000, 2.732, 0.000], [0.000, 0.000, 5.476]], "species": ["H", "Mn", "V", "V"], "frac_coords": [[0.500, 0.500, 0.500], [0.500, 0.500, 0.000], [0.000, 0.000, 0.724], [0.000, 0.000, 0.276]]}



11.
{"formula": "Mn2VH2", "functional": "GGA-PBE", "state": "optimized geometry", "dos_ef_per_ev_fu": 4.13, "dft_energy_ev_per_atom": -6.878, "magnetic_moment_mub_per_cell": 0.51, "de_polymorph_mev_per_atom": 9, "cell": [[2.576, 0.000, -0.572], [0.000, 3.850, 0.000], [0.375, 0.000, 7.781]], "species": ["Mn", "Mn", "Mn", "Mn", "V", "V", "H", "H", "H", "H"], "frac_coords": [[0.036, 0.473, 0.071], [0.207, 0.473, 0.415], [0.793, 0.973, 0.585], [0.964, 0.973, 0.929], [0.618, 0.973, 0.236], [0.382, 0.473, 0.764], [0.623, 0.473, 0.246], [0.210, 0.973, 0.421], [0.790, 0.473, 0.579], [0.377, 0.973, 0.754]]}



12.
{"formula": "MnV2H2", "functional": "GGA-PBE", "state": "optimized geometry", "dos_ef_per_ev_fu": 3.28, "dft_energy_ev_per_atom": -6.919, "magnetic_moment_mub_per_cell": 2.45, "de_polymorph_mev_per_atom": 72, "cell": [[-1.360, -4.618, -0.736], [3.122, -3.009, -1.404], [0.845, -2.912, 3.724]], "species": ["Mn", "Mn", "V", "V", "V", "V", "H", "H", "H", "H"], "frac_coords": [[0.925, 0.687, 0.230], [0.075, 0.313, 0.770], [0.574, 0.308, 0.275], [0.756, 0.993, 0.756], [0.244, 0.007, 0.244], [0.426, 0.692, 0.725], [0.642, 0.659, 0.995], [0.825, 0.345, 0.481], [0.358, 0.341, 0.005], [0.175, 0.655, 0.519]]}



13.
{"formula": "MnV4H2", "functional": "GGA-PBE", "state": "optimized geometry", "dos_ef_per_ev_fu": 7.59, "dft_energy_ev_per_atom": -6.820, "magnetic_moment_mub_per_cell": 0.00, "cell": [[-2.564, 0.904, -3.218], [3.058, -1.003, -2.719], [-1.223, -4.396, -3.018]], "species": ["H", "H", "Mn", "V", "V", "V", "V"], "frac_coords": [[0.432, 0.432, 0.136], [0.568, 0.568, 0.864], [0.000, 0.000, 0.000], [0.245, 0.245, 0.510], [0.755, 0.755, 0.490], [0.000, 0.500, 0.000], [0.500, 0.000, 0.000]]}



14.
{"formula": "Mn2VH", "functional": "GGA-PBE", "state": "optimized geometry", "dos_ef_per_ev_fu": 4.61, "dft_energy_ev_per_atom": -7.555, "magnetic_moment_mub_per_cell": 0.28, "de_polymorph_mev_per_atom": 0, "cell": [[-5.066, -3.134, -1.555], [-1.007, -1.315, 5.930], [-4.125, -0.557, 2.372]], "species": ["H", "H", "Mn", "Mn", "Mn", "Mn", "V", "V"], "frac_coords": [[0.500, 0.500, 0.000], [0.250, 0.750, 0.500], [0.519, 0.125, 0.250], [0.231, 0.625, 0.250], [0.375, 0.481, 0.750], [0.875, 0.769, 0.750], [0.000, 0.000, 0.000], [0.750, 0.250, 0.500]]}



15.
{"formula": "MnVH4", "functional": "GGA-PBE", "state": "optimized geometry", "dos_ef_per_ev_fu": 3.20, "dft_energy_ev_per_atom": -5.359, "magnetic_moment_mub_per_cell": 0.56, "de_polymorph_mev_per_atom": 0, "cell": [[-1.805, 1.981, 1.077], [-1.960, -2.060, 0.506], [1.600, -0.594, 3.775]], "species": ["Mn", "V", "H", "H", "H", "H"], "frac_coords": [[0.001, 0.997, 0.498], [0.501, 0.497, 0.998], [0.501, 0.997, 0.267], [0.501, 0.997, 0.729], [0.001, 0.497, 0.729], [0.001, 0.497, 0.267]]}



16.
{"formula": "MnV5H6", "functional": "GGA-PBE", "state": "optimized geometry", "dos_ef_per_ev_fu": 7.08, "dft_energy_ev_per_atom": -6.405, "magnetic_moment_mub_per_cell": 1.42, "cell": [[4.593, 0.182, 0.598], [1.098, 4.132, 2.312], [-0.027, 0.048, 4.802]], "species": ["Mn", "V", "V", "V", "V", "V", "H", "H", "H", "H", "H", "H"], "frac_coords": [[0.000, 0.000, 0.000], [0.498, 0.166, 0.670], [0.000, 0.334, 0.333], [0.500, 0.500, 0.000], [0.000, 0.666, 0.667], [0.502, 0.834, 0.330], [0.746, 0.085, 0.340], [0.251, 0.580, 0.336], [0.249, 0.250, 0.000], [0.751, 0.750, 0.000], [0.749, 0.420, 0.664], [0.254, 0.915, 0.660]]}



17.
{"formula": "MnV3H", "functional": "GGA-PBE", "state": "optimized geometry", "dos_ef_per_ev_fu": 6.93, "dft_energy_ev_per_atom": -6.581, "magnetic_moment_mub_per_cell": 0.00, "de_polymorph_mev_per_atom": 1337, "cell": [[4.294, 0.000, 0.000], [0.000, 4.294, 0.000], [0.000, 0.000, 4.294]], "species": ["H", "Mn", "V", "V", "V"], "frac_coords": [[0.500, 0.500, 0.500], [0.000, 0.000, 0.000], [0.000, 0.500, 0.000], [0.000, 0.000, 0.500], [0.500, 0.000, 0.000]]}



18.
{"formula": "MnV3H4", "functional": "GGA-PBE", "state": "optimized geometry", "dos_ef_per_ev_fu": 4.53, "dft_energy_ev_per_atom": -6.274, "magnetic_moment_mub_per_cell": 3.49, "cell": [[-3.773, 2.568, -1.585], [-2.196, -0.397, 4.584], [2.382, 4.442, 1.526]], "species": ["Mn", "Mn", "V", "V", "V", "V", "V", "V", "H", "H", "H", "H", "H", "H", "H", "H"], "frac_coords": [[0.992, 0.163, 0.000], [0.492, 0.837, 0.500], [0.493, 0.851, 0.000], [0.996, 0.652, 0.242], [0.496, 0.348, 0.258], [0.993, 0.149, 0.500], [0.496, 0.348, 0.742], [0.996, 0.652, 0.758], [0.129, 0.857, 0.000], [0.643, 0.168, 0.000], [0.134, 0.331, 0.247], [0.634, 0.669, 0.253], [0.143, 0.832, 0.500], [0.629, 0.143, 0.500], [0.634, 0.669, 0.747], [0.134, 0.331, 0.753]]}



19.
{"formula": "MnV2H", "functional": "GGA-PBE", "state": "optimized geometry", "dos_ef_per_ev_fu": 4.46, "dft_energy_ev_per_atom": -7.075, "magnetic_moment_mub_per_cell": 0.00, "de_polymorph_mev_per_atom": 460, "cell": [[-0.841, 3.411, 0.289], [-0.755, 1.368, 3.160], [4.759, 2.836, 1.877]], "species": ["H", "Mn", "V", "V"], "frac_coords": [[0.000, 0.000, 0.000], [0.500, 0.500, 0.500], [0.106, 0.106, 0.682], [0.894, 0.894, 0.318]]}



20.
{"formula": "MnV2H4", "functional": "GGA-PBE", "state": "optimized geometry", "dos_ef_per_ev_fu": 3.05, "dft_energy_ev_per_atom": -5.906, "magnetic_moment_mub_per_cell": 6.28, "cell": [[5.346, 0.192, -0.086], [-0.194, 5.346, 0.081], [-2.517, -2.827, 3.773]], "species": ["Mn", "Mn", "V", "V", "V", "V", "H", "H", "H", "H", "H", "H", "H", "H"], "frac_coords": [[0.251, 0.749, 0.500], [0.999, 0.001, 0.000], [0.625, 0.375, 0.750], [0.625, 0.875, 0.250], [0.625, 0.375, 0.250], [0.125, 0.375, 0.750], [0.864, 0.135, 0.269], [0.386, 0.615, 0.231], [0.866, 0.596, 0.731], [0.865, 0.136, 0.731], [0.404, 0.134, 0.268], [0.384, 0.154, 0.769], [0.385, 0.614, 0.769], [0.846, 0.616, 0.232]]}